Arrangement a

Below is a relaxed structure of CoPbSCl2, with properties calculated at the PBE-GGA level.

Properties
* DOS at the Fermi energy: 10.70 states/eV/cell

```
data_CoPbSCl2
_chemical_formula_sum 'Co1 Pb1 S1 Cl2'
_cell_length_a 5.406
_cell_length_b 5.406
_cell_length_c 5.294
_cell_angle_alpha 90.00
_cell_angle_beta 90.00
_cell_angle_gamma 90.00
_symmetry_space_group_name_H-M 'P 4/m m m'
_symmetry_Int_Tables_number 123
_symmetry_space_group_name_Hall '-P 4 2'
loop_
_atom_site_label
_atom_site_type_symbol
_atom_site_fract_x
_atom_site_fract_y
_atom_site_fract_z
Co1 Co 0.000 0.000 0.000
Pb1 Pb 0.500 0.500 0.500
S1 S 0.500 0.500 0.000
Cl1 Cl 0.000 0.500 0.500
```

---

Arrangement b

Below is a relaxed structure of CoPbSCl2, with properties calculated at the PBE-GGA level.

Properties
* DOS at the Fermi energy: 2.89 states/eV/cell

```
data_CoPbSCl2
_chemical_formula_sum 'Co1 Pb1 S1 Cl2'
_cell_length_a 4.756
_cell_length_b 4.756
_cell_length_c 4.651
_cell_angle_alpha 90.00
_cell_angle_beta 90.00
_cell_angle_gamma 90.00
_symmetry_space_group_name_H-M 'P 4/m m m'
_symmetry_Int_Tables_number 123
_symmetry_space_group_name_Hall '-P 4 2'
loop_
_atom_site_label
_atom_site_type_symbol
_atom_site_fract_x
_atom_site_fract_y
_atom_site_fract_z
Co1 Co 0.000 0.000 0.000
Pb1 Pb 0.500 0.500 0.500
S1 S 0.000 0.000 0.500
Cl1 Cl 0.000 0.500 0.000
```

---

Most stable: arrangement b

---

Arrangement a

Below is a relaxed structure of CoPdCl6, with properties calculated at the PBE-GGA level.

Properties
* DOS at the Fermi energy: 16.28 states/eV/cell

```
data_CoPdCl6
_chemical_formula_sum 'Co2 Pd2 Cl12'
_cell_length_a 6.068
_cell_length_b 11.389
_cell_length_c 6.062
_cell_angle_alpha 90.00
_cell_angle_beta 112.20
_cell_angle_gamma 90.00
_symmetry_space_group_name_H-M 'C 1 2/m 1'
_symmetry_Int_Tables_number 12
_symmetry_space_group_name_Hall '-C 2y'
loop_
_atom_site_label
_atom_site_type_symbol
_atom_site_fract_x
_atom_site_fract_y
_atom_site_fract_z
Co1 Co 0.000 0.000 0.000
Pd1 Pd 0.000 0.500 0.500
Cl1 Cl 0.223 0.000 0.777
Cl2 Cl 0.243 0.137 0.243
```

---

Arrangement b

Below is a relaxed structure of CoPdCl6, with properties calculated at the PBE-GGA level.

Properties
* DOS at the Fermi energy: 20.11 states/eV/cell

```
data_CoPdCl6
_chemical_formula_sum 'Co3 Pd3 Cl18'
_cell_length_a 5.9507
_cell_length_b 5.9507
_cell_length_c 16.1337
_cell_angle_alpha 90.00
_cell_angle_beta 90.00
_cell_angle_gamma 120.00
_symmetry_space_group_name_H-M 'R -3'
_symmetry_Int_Tables_number 148
_symmetry_space_group_name_Hall '-R 3'
loop_
_atom_site_label
_atom_site_type_symbol
_atom_site_fract_x
_atom_site_fract_y
_atom_site_fract_z
Co1 Co 0.0000 0.0000 0.0000
Pd1 Pd 0.0000 0.0000 0.5000
Cl1 Cl 0.0083 0.3199 0.0807
```

---

Most stable: arrangement a

---

Arrangement a

Below is a relaxed structure of CoPdCl2, with properties calculated at the PBE-GGA level.

Properties
* DOS at the Fermi energy: 18.79 states/eV/cell

```
data_CoPdCl2
_chemical_formula_sum 'Co3 Pd3 Cl6'
_cell_length_a 3.3739
_cell_length_b 3.3739
_cell_length_c 22.5928
_cell_angle_alpha 90.00
_cell_angle_beta 90.00
_cell_angle_gamma 120.00
_symmetry_space_group_name_H-M 'R -3 m'
_symmetry_Int_Tables_number 166
_symmetry_space_group_name_Hall '-R 3 2"'
loop_
_atom_site_label
_atom_site_type_symbol
_atom_site_fract_x
_atom_site_fract_y
_atom_site_fract_z
Co1 Co 0.0000 0.0000 0.0000
Pd1 Pd 0.0000 0.0000 0.5000
Cl1 Cl 0.0000 0.0000 0.3959
```

---

Arrangement b

Below is a relaxed structure of CoPdCl2, with properties calculated at the PBE-GGA level.

Properties
* DOS at the Fermi energy: 12.74 states/eV/cell

```
data_CoPdCl2
_chemical_formula_sum 'Co4 Pd4 Cl8'
_cell_length_a 6.401
_cell_length_b 6.401
_cell_length_c 6.401
_cell_angle_alpha 90.00
_cell_angle_beta 90.00
_cell_angle_gamma 90.00
_symmetry_space_group_name_H-M 'F m -3 m'
_symmetry_Int_Tables_number 225
_symmetry_space_group_name_Hall '-F 4 2 3'
loop_
_atom_site_label
_atom_site_type_symbol
_atom_site_fract_x
_atom_site_fract_y
_atom_site_fract_z
Co1 Co 0.000 0.000 0.000
Pd1 Pd 0.000 0.000 0.500
Cl1 Cl 0.250 0.250 0.250
```

---

Most stable: arrangement a

---

Arrangement a

Below is a relaxed structure of Rb2CoPdCl6, with properties calculated at the PBE-GGA level.

Properties
* DOS at the Fermi energy: 34.84 states/eV/cell

```
data_Rb2CoPdCl6
_chemical_formula_sum 'Rb4 Co2 Pd2 Cl12'
_cell_length_a 7.228
_cell_length_b 7.228
_cell_length_c 9.094
_cell_angle_alpha 90.00
_cell_angle_beta 90.00
_cell_angle_gamma 90.00
_symmetry_space_group_name_H-M 'I 4/m m m'
_symmetry_Int_Tables_number 139
_symmetry_space_group_name_Hall '-I 4 2'
loop_
_atom_site_label
_atom_site_type_symbol
_atom_site_fract_x
_atom_site_fract_y
_atom_site_fract_z
Rb1 Rb 0.000 0.500 0.250
Co1 Co 0.000 0.000 0.000
Pd1 Pd 0.000 0.000 0.500
Cl1 Cl 0.000 0.000 0.241
Cl2 Cl 0.244 0.244 0.000
```

---

Arrangement b

Below is a relaxed structure of Rb2CoPdCl6, with properties calculated at the PBE-GGA level.

Properties
* DOS at the Fermi energy: 1.20 states/eV/cell

```
data_Rb2CoPdCl6
_chemical_formula_sum 'Rb12 Co6 Pd6 Cl36'
_cell_length_a 6.9896
_cell_length_b 6.9896
_cell_length_c 35.6812
_cell_angle_alpha 90.00
_cell_angle_beta 90.00
_cell_angle_gamma 120.00
_symmetry_space_group_name_H-M 'R -3 m'
_symmetry_Int_Tables_number 166
_symmetry_space_group_name_Hall '-R 3 2"'
loop_
_atom_site_label
_atom_site_type_symbol
_atom_site_fract_x
_atom_site_fract_y
_atom_site_fract_z
Rb1 Rb 0.0000 0.0000 0.1177
Rb2 Rb 0.0000 0.0000 0.2960
Co1 Co 0.0000 0.0000 0.4126
Pd1 Pd 0.0000 0.0000 0.0000
Pd2 Pd 0.0000 0.0000 0.5000
Cl1 Cl 0.0161 0.5081 0.2907
Cl2 Cl 0.0254 0.5127 0.1189
```

---

Most stable: arrangement b

---

Arrangement a

Below is a relaxed structure of Pm2CoCl, with properties calculated at the PBE-GGA level.

Properties
* DOS at the Fermi energy: 2.40 states/eV/cell

```
data_Pm2CoCl
_chemical_formula_sum 'Pm2 Co1 Cl1'
_cell_length_a 3.357
_cell_length_b 3.357
_cell_length_c 8.012
_cell_angle_alpha 90.00
_cell_angle_beta 90.00
_cell_angle_gamma 90.00
_symmetry_space_group_name_H-M 'P 4/m m m'
_symmetry_Int_Tables_number 123
_symmetry_space_group_name_Hall '-P 4 2'
loop_
_atom_site_label
_atom_site_type_symbol
_atom_site_fract_x
_atom_site_fract_y
_atom_site_fract_z
Pm1 Pm 0.000 0.000 0.214
Co1 Co 0.500 0.500 0.000
Cl1 Cl 0.500 0.500 0.500
```

---

Arrangement b

Below is a relaxed structure of Pm2CoCl, with properties calculated at the PBE-GGA level.

Properties
* DOS at the Fermi energy: 3.76 states/eV/cell

```
data_Pm2CoCl
_chemical_formula_sum 'Pm6 Co3 Cl3'
_cell_length_a 3.9236
_cell_length_b 3.9236
_cell_length_c 22.5278
_cell_angle_alpha 90.00
_cell_angle_beta 90.00
_cell_angle_gamma 120.00
_symmetry_space_group_name_H-M 'R -3 m'
_symmetry_Int_Tables_number 166
_symmetry_space_group_name_Hall '-R 3 2"'
loop_
_atom_site_label
_atom_site_type_symbol
_atom_site_fract_x
_atom_site_fract_y
_atom_site_fract_z
Pm1 Pm 0.0000 0.0000 0.2336
Co1 Co 0.0000 0.0000 0.5000
Cl1 Cl 0.0000 0.0000 0.0000
```

---

Most stable: arrangement b

---

Arrangement a

Below is a relaxed structure of Pr2CoCl, with properties calculated at the PBE-GGA level.

Properties
* DOS at the Fermi energy: 10.08 states/eV/cell

```
data_Pr2CoCl
_chemical_formula_sum 'Pr6 Co3 Cl3'
_cell_length_a 3.4273
_cell_length_b 3.4273
_cell_length_c 29.4073
_cell_angle_alpha 90.00
_cell_angle_beta 90.00
_cell_angle_gamma 120.00
_symmetry_space_group_name_H-M 'R -3 m'
_symmetry_Int_Tables_number 166
_symmetry_space_group_name_Hall '-R 3 2"'
loop_
_atom_site_label
_atom_site_type_symbol
_atom_site_fract_x
_atom_site_fract_y
_atom_site_fract_z
Pr1 Pr 0.0000 0.0000 0.0863
Co1 Co 0.0000 0.0000 0.0000
Cl1 Cl 0.0000 0.0000 0.5000
```

---

Arrangement b

Below is a relaxed structure of Pr2CoCl, with properties calculated at the PBE-GGA level.

Properties
* DOS at the Fermi energy: 4.07 states/eV/cell

```
data_Pr2CoCl
_chemical_formula_sum 'Pr6 Co3 Cl3'
_cell_length_a 3.9689
_cell_length_b 3.9689
_cell_length_c 23.1696
_cell_angle_alpha 90.00
_cell_angle_beta 90.00
_cell_angle_gamma 120.00
_symmetry_space_group_name_H-M 'R 3 m'
_symmetry_Int_Tables_number 160
_symmetry_space_group_name_Hall 'R 3 -2"'
loop_
_atom_site_label
_atom_site_type_symbol
_atom_site_fract_x
_atom_site_fract_y
_atom_site_fract_z
Pr1 Pr 0.0000 0.0000 0.0000
Pr2 Pr 0.0000 0.0000 0.2003
Co1 Co 0.0000 0.0000 0.6001
Cl1 Cl 0.0000 0.0000 0.7693
```

---

Most stable: arrangement b